[1]
# BaSc2Hg

A geometry-optimized BaSc2Hg structure (GGA-PBE, Alexandria).

Unit cell a=4.8146 b=4.8146 c=4.9916 alpha=90.00 beta=90.00 gamma=90.00
Space group P4/mmm (No. 123)
Symmetry-distinct sites (fractional):
Ba (0.0000, 0.0000, 0.0000) x1
Sc (0.0000, 0.5000, 0.5000) x2
Hg (0.5000, 0.5000, 0.0000) x1

Calculated values
Volume (Å³ per cell): 115.70
DFT formation energy (eV per formula unit): 0.6
E (eV/atom): -3.566

***

[2]
# KNa2Cl2

A geometry-optimized KNa2Cl2 structure (GGA-PBE, Alexandria).

Unit cell a=8.3711 b=8.3711 c=4.3394 alpha=90.00 beta=90.00 gamma=90.00
Space group P4/mbm (No. 127)
Symmetry-distinct sites (fractional):
K (0.0000, 0.0000, 0.0000) x2
Na (0.1575, 0.3425, 0.5000) x4
Cl (0.1676, 0.6676, 0.0000) x4

Calculated values
Volume (Å³ per cell): 304.08
Distance to the lowest polymorph of the same formula (eV per atom): 0.081
Uncorrected formation energy (kcal/mol of atoms): -27.92
E (eV/atom): -2.696

***

[3]
# AgP2SBr

A geometry-optimized AgP2SBr structure (GGA-PBE, Alexandria).

Unit cell a=4.9283 b=4.9283 c=4.8265 alpha=90.00 beta=90.00 gamma=90.00
Space group P4/mmm (No. 123)
Symmetry-distinct sites (fractional):
Ag (0.0000, 0.0000, 0.0000) x1
P (0.0000, 0.5000, 0.5000) x2
S (0.5000, 0.5000, 0.0000) x1
Br (0.5000, 0.5000, 0.5000) x1

Calculated values
Volume (Å³ per cell): 117.23
Distance to the lowest polymorph of the same formula (eV per atom): 0.255
Uncorrected formation energy (kcal/mol of atoms): 32.76
E (eV/atom): -2.473